A geometry-optimized NaSbPt2 structure, computed with GGA-PBE.

a = 7.5972 Å, b = 7.5972 Å, c = 6.1037 Å
α = 51.51°, β = 51.51°, γ = 90.00°
With the nearest neighbours (Å) after each atom.
Atoms (fractional coordinates):
Sb (0.0000, 0.0000, 0.0000)  4 Pt 2.60, 2 Na 2.90
Sb (0.7500, 0.2500, 0.5000)  4 Pt 2.60, 2 Na 2.90
Pt (0.6606, 0.1250, 0.2500)  2 Sb 2.60
Pt (0.0894, 0.6250, 0.2500)  2 Sb 2.60
Pt (0.3750, 0.3394, 0.7500)  2 Sb 2.60
Pt (0.8750, 0.9106, 0.7500)  2 Sb 2.60
Na (0.5000, 0.5000, 0.0000)  2 Sb 2.90, 4 Pt 2.97
Na (0.2500, 0.7500, 0.5000)  2 Sb 2.90, 4 Pt 2.97

Values from the calculation:
Total moment in Bohr magnetons per cell: 0.000
Raw formation energy in eV per atom: -0.05
Electronic total energy in eV per atom: -4.43
SG: I-42d